Sc3MoPd: relaxed, PBE.

Mass density (g cm⁻³): 4.55

abc: 4.974 4.974 4.974
angles: 90.00 90.00 90.00
Space group Pm-3m (No. 221)
Unique sites:
Sc: 0.000 0.000 0.500
Mo: 0.500 0.500 0.500
Pd: 0.000 0.000 0.000


Sc3MoPd: relaxed, PBE.

Mass density (g cm⁻³): 4.73

abc: 4.910 4.910 4.910
angles: 90.00 90.00 90.00
Space group Pm-3m (No. 221)
Unique sites:
Sc: 0.000 0.000 0.500
Mo: 0.000 0.000 0.000
Pd: 0.500 0.500 0.500


ScMo3Pd: relaxed, PBE.

Mass density (g cm⁻³): 7.77

abc: 4.544 4.544 4.544
angles: 90.00 90.00 90.00
Space group Pm-3m (No. 221)
Unique sites:
Sc: 0.000 0.000 0.000
Mo: 0.000 0.000 0.500
Pd: 0.500 0.500 0.500


Q: Which D(E_F) values were calculated for the entries above? A: 7.59; 3.39; 4.90, in states/eV/f.u..
Q: Which E_tot values were calculated for the entries above? A: -0.239; -0.242; -0.254, in hartree per atom.
Q: Which energy relative to the lowest polymorph listed for this composition values were calculated for the entries above? A: 64; 0; 335, in meV/atom.